# Ho2Np5S12

A relaxed structure of Ho2Np5S12 (PBE, Alexandria via LeMat-Bulk).

Structure (CIF):
```
data_Ho2Np5S12
_chemical_formula_sum 'Ho4 Np10 S24'
_symmetry_space_group_name_H-M 'C 1 2/m 1'
_symmetry_Int_Tables_number 12
_symmetry_space_group_name_Hall '-C 2y'
_cell_length_a 14.045
_cell_length_b 7.786
_cell_length_c 9.335
_cell_angle_alpha 90.00
_cell_angle_beta 110.56
_cell_angle_gamma 90.00
loop_
_atom_site_label
_atom_site_fract_x
_atom_site_fract_y
_atom_site_fract_z
Ho1 0.000 0.246 0.000
Np1 0.000 0.000 0.500
Np2 0.197 0.500 0.383
Np3 0.234 0.500 0.960
S1 0.023 0.500 0.813
S2 0.062 0.000 0.839
S3 0.136 0.225 0.505
S4 0.201 0.274 0.155
```

Results
The calculated volume comes out at 955.88 Å³/cell. As for the total energy: -7.936 eV/atom. As for the total magnetic moment: 34.00 μB per cell. The calculation puts the formation energy from raw total energies at -1.442 eV per atom.